Record 1
PBE YTmCuPt, relaxed; formation energy = -3.16 eV per formula unit; total magnetization = 0.000 μB/f.u.; E above lowest polymorph = 33 meV/atom
1.0
-0.092 0.971 4.799
4.085 -0.436 2.665
2.232 4.000 1.732
Y Tm Cu Pt
1 1 1 1
Direct
0.250 0.250 0.250
0.750 0.750 0.750
0.000 0.000 0.000
0.500 0.500 0.500

***

Record 2
PBE Pm12SmPb7, relaxed; formation energy = -6.03 eV per formula unit; total magnetization = 0.006 μB/f.u.
1.0
9.620 -0.433 -0.650
-3.091 9.120 -0.650
-3.091 -4.112 8.166
Pm Sm Pb
12 1 7
Direct
0.000 0.276 0.724
0.724 0.276 0.000
0.496 0.161 0.496
0.839 0.504 0.504
0.276 0.000 0.724
0.504 0.504 0.839
0.496 0.496 0.161
0.724 0.000 0.276
0.161 0.496 0.496
0.504 0.839 0.504
0.276 0.724 0.000
0.000 0.724 0.276
0.000 0.000 0.000
0.865 0.558 0.865
0.442 0.135 0.135
0.135 0.135 0.442
0.500 0.500 0.500
0.865 0.865 0.558
0.558 0.865 0.865
0.135 0.442 0.135

***

Record 3
PBE Sr2Zn7Cu, relaxed; formation energy = -1.94 eV per formula unit; total magnetization = 0.000 μB/f.u.
1.0
4.237 0.000 0.000
0.000 4.237 0.000
0.000 0.000 11.389
Sr Zn Cu
2 7 1
Direct
0.500 0.000 0.754
0.000 0.500 0.246
0.000 0.500 0.872
0.500 0.000 0.360
0.500 0.000 0.128
0.000 0.500 0.640
0.000 0.000 0.500
0.000 0.000 0.000
0.500 0.500 0.500
0.500 0.500 0.000

***

Record 4
PBE RbBaNi2, relaxed; formation energy = 3.31 eV per formula unit; total magnetization = 0.000 μB/f.u.; E above lowest polymorph = 117 meV/atom
1.0
-0.060 -4.681 7.016
5.218 -5.534 -3.646
5.089 -3.473 2.797
Ni Ba Rb
4 2 2
Direct
0.637 0.125 0.250
0.113 0.625 0.250
0.375 0.363 0.750
0.875 0.887 0.750
0.000 0.000 0.000
0.750 0.250 0.500
0.500 0.500 0.000
0.250 0.750 0.500

***

Record 5
PBE CaMg2CdMo, relaxed; formation energy = 4.94 eV per formula unit; total magnetization = 4.366 μB/f.u.
1.0
5.196 0.000 0.000
0.000 5.196 0.000
0.000 0.000 5.685
Mg Mo Ca Cd
2 1 1 1
Direct
0.000 0.500 0.000
0.500 0.000 0.000
0.500 0.500 0.500
0.000 0.000 0.500
0.000 0.000 0.000

***

Record 6
PBE Y2PuAgO8, relaxed; E_form (uncorrected) = -27.766 eV/f.u.; total magnetization = 0.990 μB/f.u.
1.0
5.016 -0.192 0.204
-0.189 5.022 -0.227
0.323 -0.302 7.103
Y Pu Ag O
2 1 1 8
Direct
0.536 0.464 0.736
0.464 0.536 0.264
0.000 0.000 0.000
0.000 0.000 0.500
0.159 0.840 0.245
0.706 0.709 0.000
0.788 0.214 0.173
0.841 0.160 0.755
0.294 0.291 0.000
0.212 0.786 0.827
0.701 0.702 0.500
0.299 0.298 0.500

***

Record 7
PBE CsP, relaxed; formation energy = 0.06 eV per formula unit; total magnetization = 0.481 μB/f.u.
1.0
-4.279 9.208 1.236
-5.784 -3.706 7.579
7.270 2.471 6.757
Cs P
8 8
Direct
0.284 0.284 0.284
0.284 0.716 0.716
0.716 0.284 0.716
0.716 0.716 0.284
0.784 0.784 0.784
0.784 0.216 0.216
0.216 0.784 0.216
0.216 0.216 0.784
0.080 0.080 0.080
0.080 0.920 0.920
0.920 0.080 0.920
0.920 0.920 0.080
0.580 0.580 0.580
0.580 0.420 0.420
0.420 0.580 0.420
0.420 0.420 0.580

***

Record 8
PBE Sr3Li2Sn4, relaxed; formation energy = -5.00 eV per formula unit; total magnetization = 0.000 μB/f.u.
1.0
4.834 0.000 0.000
-2.417 6.013 0.055
0.000 -2.352 9.151
Sr Li Sn
3 2 4
Direct
0.625 0.250 0.692
0.000 0.000 0.000
0.375 0.750 0.308
0.689 0.377 0.363
0.311 0.623 0.637
0.712 0.425 0.072
0.288 0.575 0.928
0.913 0.827 0.588
0.087 0.173 0.412

***

Record 9
PBE Na2In2F, relaxed; E_form (uncorrected) = -2.974 eV/f.u.; total magnetization = 0.000 μB/f.u.; E above lowest polymorph = 0 meV/atom
1.0
-2.675 6.188 -1.728
-0.668 -2.129 -6.592
-5.064 -1.877 1.120
Na F In
4 2 4
Direct
0.162 0.662 0.500
0.662 0.838 0.500
0.838 0.338 0.500
0.338 0.162 0.500
0.000 0.000 0.000
0.500 0.500 0.000
0.336 0.836 0.000
0.836 0.664 0.000
0.664 0.164 0.000
0.164 0.336 0.000

***

Record 10
PBE Ho11In9Ag4, relaxed; formation energy = -10.34 eV per formula unit; total magnetization = 0.000 μB/f.u.
1.0
3.711 0.000 0.000
0.000 12.238 -5.206
0.000 0.022 13.299
Ho In Ag
11 9 4
Direct
0.000 0.589 0.936
0.000 0.411 0.064
0.000 0.936 0.589
0.000 0.064 0.411
0.000 0.632 0.368
0.000 0.368 0.632
0.000 0.839 0.161
0.000 0.161 0.839
0.000 0.000 0.000
0.000 0.700 0.700
0.000 0.300 0.300
0.500 0.632 0.156
0.500 0.368 0.844
0.500 0.156 0.632
0.500 0.844 0.368
0.500 0.786 0.932
0.500 0.214 0.068
0.500 0.932 0.786
0.500 0.068 0.214
0.500 0.500 0.500
0.500 0.551 0.752
0.500 0.449 0.248
0.500 0.752 0.551
0.500 0.248 0.449

***

Record 11
PBE BaZn2Re, relaxed; formation energy = 3.36 eV per formula unit; total magnetization = 0.000 μB/f.u.; E above lowest polymorph = 378 meV/atom
1.0
-2.726 0.557 4.436
3.905 -2.233 2.681
1.214 2.623 0.417
Ba Re Zn
1 1 2
Direct
0.500 0.000 0.500
0.000 0.500 0.500
0.000 0.000 0.000
0.500 0.500 0.000

***

Record 12
PBE PmGdHo2, relaxed; formation energy = 0.45 eV per formula unit; total magnetization = 8.019 μB/f.u.; E above lowest polymorph = 97 meV/atom
1.0
5.687 0.000 0.000
2.844 4.925 0.000
2.844 1.642 4.644
Gd Ho Pm
1 2 1
Direct
0.500 0.500 0.500
0.250 0.250 0.250
0.750 0.750 0.750
0.000 0.000 0.000

***

Record 13
PBE ZnTcI2, relaxed; E_form (uncorrected) = 2.547 eV/f.u.; total magnetization = 0.000 μB/f.u.; E above lowest polymorph = 0 meV/atom
1.0
-5.167 4.688 -3.206
-3.604 -6.056 -3.048
-7.057 -1.016 0.692
I Zn Tc
4 2 2
Direct
0.707 0.125 0.250
0.043 0.625 0.250
0.375 0.293 0.750
0.875 0.957 0.750
0.500 0.500 0.000
0.250 0.750 0.500
0.000 0.000 0.000
0.750 0.250 0.500

***

Record 14
PBE U2ZnOs, relaxed; formation energy = 1.58 eV per formula unit; total magnetization = 3.005 μB/f.u.
1.0
-0.166 -2.845 -0.706
1.957 -1.899 1.087
-5.850 -3.327 8.680
Os Zn U
1 1 2
Direct
0.500 0.500 0.500
0.000 0.000 0.000
0.094 0.094 0.717
0.906 0.906 0.283

***

Record 15
PBE Si2As2I, relaxed; E_form (uncorrected) = 1.109 eV/f.u.; total magnetization = 0.000 μB/f.u.; E above lowest polymorph = 55 meV/atom
1.0
4.741 0.000 0.000
0.000 4.741 0.000
2.370 2.370 4.630
I As Si
1 2 2
Direct
0.000 0.000 0.000
0.750 0.250 0.500
0.250 0.750 0.500
0.364 0.364 0.271
0.636 0.636 0.729

***

Record 16
PBE LaHf3Cl, relaxed; E_form (uncorrected) = 0.456 eV/f.u.; total magnetization = 0.000 μB/f.u.; E above lowest polymorph = 0 meV/atom
1.0
4.942 0.000 0.000
0.000 4.942 0.000
0.000 0.000 4.942
Cl Hf La
1 3 1
Direct
0.000 0.000 0.000
0.000 0.500 0.000
0.000 0.000 0.500
0.500 0.000 0.000
0.500 0.500 0.500

***

Record 17
PBE KMnOs2, relaxed; formation energy = 3.78 eV per formula unit; total magnetization = 2.322 μB/f.u.; E above lowest polymorph = 229 meV/atom
1.0
-0.304 2.237 -4.578
-2.664 0.880 -4.264
-3.048 5.641 1.458
K Mn Os
1 1 2
Direct
0.750 0.750 0.750
0.250 0.250 0.250
0.959 0.959 0.115
0.541 0.541 0.385

***

Record 18
PBE NaPm3Se2Cl6, relaxed; E_form (uncorrected) = -24.244 eV/f.u.; total magnetization = 0.000 μB/f.u.
1.0
-6.254 0.211 -0.103
-0.220 -2.670 7.886
0.129 8.014 -1.681
Na Pm Se Cl
1 3 2 6
Direct
0.500 0.000 0.000
0.000 0.500 0.000
0.500 0.500 0.500
0.500 0.000 0.500
0.245 0.671 0.341
0.755 0.329 0.659
0.751 0.337 0.165
0.249 0.663 0.835
0.724 0.831 0.662
0.276 0.169 0.338
0.249 0.171 0.835
0.751 0.829 0.165

***

Record 19
PBE La2RuCl, relaxed; E_form (uncorrected) = -2.314 eV/f.u.; total magnetization = 0.000 μB/f.u.; E above lowest polymorph = 430 meV/atom
1.0
-2.830 5.864 0.414
-4.813 2.430 -3.675
1.900 -5.203 3.448
Cl La Ru
1 2 1
Direct
0.750 0.250 0.500
0.000 0.000 0.000
0.250 0.750 0.500
0.500 0.500 0.000

***

Record 20
PBE CaTaOsS2, relaxed; E_form (uncorrected) = 4.481 eV/f.u.; total magnetization = 3.068 μB/f.u.
1.0
4.682 0.000 0.000
0.000 6.329 0.000
0.000 0.000 4.682
Ca Os S Ta
1 1 2 1
Direct
0.000 0.500 0.000
0.500 0.500 0.500
0.000 0.000 0.500
0.500 0.000 0.000
0.000 0.000 0.000

***

Record 21
PBE SrCoTc, relaxed; formation energy = 1.30 eV per formula unit; total magnetization = 0.000 μB/f.u.; E above lowest polymorph = 162 meV/atom
1.0
-2.447 2.777 -1.326
1.627 -2.550 -2.513
-3.887 -3.116 0.646
Co Sr Tc
1 1 1
Direct
0.000 0.000 0.833
0.667 0.333 0.333
0.333 0.667 0.833

***

Record 22
PBE LaAlMo2, relaxed; formation energy = 0.96 eV per formula unit; total magnetization = 0.000 μB/f.u.
1.0
4.938 -0.001 0.012
3.804 3.149 0.012
0.985 0.355 5.470
Mo Al La
2 1 1
Direct
0.985 0.985 0.091
0.515 0.515 0.409
0.250 0.250 0.250
0.750 0.750 0.750

***

Record 23
PBE Au3C2, relaxed; formation energy = 7.55 eV per formula unit; total magnetization = 0.000 μB/f.u.; E above lowest polymorph = 0 meV/atom
1.0
0.000 4.334 5.575
3.405 0.000 5.575
3.405 4.334 0.000
Au C
6 4
Direct
0.241 0.068 0.989
0.701 0.989 0.068
0.261 0.549 0.009
0.182 0.009 0.549
0.864 0.636 0.636
0.614 0.386 0.386
0.789 0.141 0.665
0.404 0.665 0.141
0.585 0.846 0.461
0.109 0.461 0.846

***

Record 24
PBE HfMg2Rh3, relaxed; formation energy = -4.69 eV per formula unit; total magnetization = 0.000 μB/f.u.; E above lowest polymorph = 0 meV/atom
1.0
-1.188 0.105 -4.327
2.602 -3.320 1.533
-8.885 -5.903 2.297
Hf Mg Rh
2 4 6
Direct
0.333 0.667 0.671
0.667 0.333 0.329
0.000 0.000 0.500
0.333 0.667 0.159
0.667 0.333 0.841
0.000 0.000 0.000
0.333 0.667 0.417
0.667 0.333 0.087
0.000 0.000 0.750
0.000 0.000 0.250
0.333 0.667 0.913
0.667 0.333 0.583